A plane-wave DFT calculation with PBE+U was carried out for an optimized crystal structure of YCu2MoF.

a b c (Å): 5.2949 5.2949 4.1801
angles (deg): 90.00 90.00 90.00
Atoms (fractional coordinates):
Y 0.0000 0.0000 0.0000
Cu 0.0000 0.5000 0.0000
Cu 0.5000 0.0000 0.0000
Mo 0.5000 0.5000 0.5000
F 0.0000 0.0000 0.5000

Results
Its uncorrected energy is -4.71 eV/atom.